15
Lattice="9.345 -0.001 0.002 -4.674 8.080 -0.058 0.002 -5.387 7.758" Properties=species:S:1:pos:R:3 comment="K3Tl3CuBr8 PBE optimized geometry" crystal_system=monoclinic e_form_raw_ev_per_atom=-1.059 pbc="T T T"
K 4.674 -2.694 3.880
K 2.337 1.346 3.851
K -2.336 1.346 3.850
Tl 0.000 0.000 0.000
Tl -2.337 4.040 -0.029
Tl 2.336 4.039 -0.028
Cu 0.001 -2.694 3.879
Br 0.000 2.696 1.966
Br 4.674 -0.005 5.736
Br 4.673 3.349 2.395
Br 0.001 -0.657 5.307
Br 7.368 -1.554 2.258
Br -2.695 4.246 5.445
Br 1.975 -1.556 2.259
Br 2.699 4.247 5.443

4
Lattice="3.594 0.000 0.000 0.000 3.594 0.000 0.000 0.000 8.795" Properties=species:S:1:pos:R:3 comment="SmDyHoAg PBE optimized geometry" e_above_lowest_polymorph_ev_per_fu=0.000 crystal_system=tetragonal formation_enthalpy_0k_ev_per_atom=-0.135 pbc="T T T"
Sm 0.000 0.000 0.633
Dy 1.797 1.797 6.876
Ho 1.797 1.797 3.181
Ag 0.000 0.000 5.008

What did the second record say?
4
Lattice="3.594 0.000 0.000 0.000 3.594 0.000 0.000 0.000 8.795" Properties=species:S:1:pos:R:3 comment="SmDyHoAg PBE optimized geometry" e_above_lowest_polymorph_ev_per_fu=0.000 crystal_system=tetragonal formation_enthalpy_0k_ev_per_atom=-0.135 pbc="T T T"
Sm 0.000 0.000 0.633
Dy 1.797 1.797 6.876
Ho 1.797 1.797 3.181
Ag 0.000 0.000 5.008

What did the second record say?
4
Lattice="3.594 0.000 0.000 0.000 3.594 0.000 0.000 0.000 8.795" Properties=species:S:1:pos:R:3 comment="SmDyHoAg PBE optimized geometry" e_above_lowest_polymorph_ev_per_fu=0.000 crystal_system=tetragonal formation_enthalpy_0k_ev_per_atom=-0.135 pbc="T T T"
Sm 0.000 0.000 0.633
Dy 1.797 1.797 6.876
Ho 1.797 1.797 3.181
Ag 0.000 0.000 5.008